Compound: BeCr2In2
Source: the Alexandria database
Functional: PBE
Structure: optimized geometry

abc: 6.0112 6.0112 4.3311
angles: 90.00 90.00 90.00
With the nearest neighbours (Å) after each atom.
Space group P4/mbm (No. 127)
Inequivalent atoms, fractional coordinates:
Be: 0.0000 0.0000 0.0000  4 Cr 2.36
Cr: 0.1297 0.3703 0.0000  1 Cr 2.21, 2 Be 2.36
In: 0.1764 0.6764 0.5000  6 Cr 2.72-2.86, 1 In 3.00

**Formation energy**: 0.4167 eV per atom
**Calculated volume**: 15.7 A^3/atom